# 1
VASP calculation (GGA-PBE) on Pm3CuNi2 after structural relaxation.

a b c (Å): 3.9073 11.5705 11.9925
angles (deg): 90.00 90.00 90.00
Positions (direct):
Ni: 0.2500 0.8091 0.9812
Pm: 0.7500 0.1708 0.2977
Pm: 0.2500 0.6708 0.2023
Pm: 0.2500 0.8292 0.7023
Pm: 0.7500 0.8683 0.4383
Cu: 0.7500 0.8836 0.8745
Pm: 0.2500 0.0759 0.8792
Ni: 0.7500 0.1909 0.0188
Ni: 0.7500 0.0054 0.6946
Pm: 0.7500 0.6317 0.9383
Cu: 0.7500 0.6164 0.3745
Pm: 0.7500 0.3292 0.7977
Cu: 0.2500 0.3836 0.6255
Ni: 0.2500 0.5054 0.8054
Ni: 0.2500 0.6909 0.4812
Pm: 0.2500 0.1317 0.5617
Pm: 0.2500 0.3683 0.0617
Pm: 0.2500 0.4241 0.3792
Ni: 0.7500 0.4946 0.1946
Pm: 0.7500 0.5759 0.6208
Cu: 0.2500 0.1164 0.1255
Ni: 0.2500 0.9946 0.3054
Pm: 0.7500 0.9241 0.1208
Ni: 0.7500 0.3091 0.5188

Output
- ΔH_f (0 K): -0.254 eV/atom
- ΔE to the lowest computed polymorph: 0.0 kJ/mol of atoms
- Crystal system: orthorhombic

***

# 2
VASP calculation (GGA-PBE) on SmEr3Co after structural relaxation.

a b c (Å): 5.2449 5.2449 5.2449
angles (deg): 90.00 90.00 90.00
Positions (direct):
Er: 0.0000 0.5000 0.0000
Er: 0.0000 0.0000 0.5000
Er: 0.5000 0.0000 0.0000
Sm: 0.5000 0.5000 0.5000
Co: 0.0000 0.0000 0.0000

Output
- ΔH_f (0 K): -0.041 eV/atom
- ΔE to the lowest computed polymorph: 6.0 kJ/mol of atoms
- Crystal system: cubic

***

# 3
VASP calculation (GGA-PBE) on Ac8Pr6Tl after structural relaxation.

a b c (Å): 7.3138 10.0317 10.0317
angles (deg): 120.00 90.00 90.00
Positions (direct):
Ac: 0.8819 0.6898 0.6464
Ac: 0.1181 0.0434 0.6898
Pr: 0.3973 0.0417 0.3616
Ac: 0.8819 0.9566 0.3102
Ac: 0.1181 0.3102 0.3536
Tl: 0.5000 0.0000 0.0000
Pr: 0.6027 0.9583 0.6384
Pr: 0.3973 0.6384 0.6800
Pr: 0.6027 0.6800 0.0417
Ac: 0.1181 0.6464 0.9566
Pr: 0.6027 0.3616 0.3200
Pr: 0.3973 0.3200 0.9583
Ac: 0.2686 0.6667 0.3333
Ac: 0.7314 0.3333 0.6667
Ac: 0.8819 0.3536 0.0434

Output
- ΔH_f (0 K): 0.183 eV/atom
- Crystal system: trigonal

***

# 4
VASP calculation (GGA-PBE) on SrTh2Ga6 after structural relaxation.

a b c (Å): 4.3377 7.4591 7.4591
angles (deg): 120.00 90.00 90.00
Positions (direct):
Ga: 0.5000 0.3363 0.0000
Ga: 0.5000 0.0000 0.6637
Ga: 0.5000 0.0000 0.3363
Th: 0.0000 0.3333 0.6667
Th: 0.0000 0.6667 0.3333
Sr: 0.0000 0.0000 0.0000
Ga: 0.5000 0.6637 0.0000
Ga: 0.5000 0.3363 0.3363
Ga: 0.5000 0.6637 0.6637

Output
- ΔH_f (0 K): -0.560 eV/atom
- Crystal system: hexagonal

***

# 5
VASP calculation (GGA-PBE) on Ce4NdDy after structural relaxation.

a b c (Å): 6.3481 6.3481 6.3481
angles (deg): 60.00 60.00 60.00
Positions (direct):
Ce: 0.6292 0.6292 0.1124
Ce: 0.6292 0.6292 0.6292
Dy: 0.0000 0.0000 0.0000
Ce: 0.6292 0.1124 0.6292
Nd: 0.2500 0.2500 0.2500
Ce: 0.1124 0.6292 0.6292

Output
- ΔH_f (0 K): 0.204 eV/atom
- Crystal system: cubic

***

# 6
VASP calculation (GGA-PBE) on BeGa2Fe2 after structural relaxation.

a b c (Å): 6.2541 6.2541 3.2721
angles (deg): 90.00 90.00 90.00
Positions (direct):
Fe: 0.3400 0.1600 0.5000
Ga: 0.6424 0.1424 0.0000
Ga: 0.3576 0.8576 0.0000
Fe: 0.8400 0.3400 0.5000
Be: 0.5000 0.5000 0.0000
Ga: 0.8576 0.6424 0.0000
Fe: 0.1600 0.6600 0.5000
Ga: 0.1424 0.3576 0.0000
Fe: 0.6600 0.8400 0.5000
Be: 0.0000 0.0000 0.0000

Output
- ΔH_f (0 K): 0.142 eV/atom
- ΔE to the lowest computed polymorph: 19.2 kJ/mol of atoms
- Crystal system: tetragonal

***

# 7
VASP calculation (GGA-PBE) on K2LiPrBr6 after structural relaxation.

a b c (Å): 7.6815 8.0378 10.9118
angles (deg): 90.00 89.11 90.00
Positions (direct):
K: 0.9763 0.0730 0.7461
Br: 0.3992 0.9755 0.7585
Br: 0.2008 0.1985 0.0499
Li: 0.0000 0.5000 0.5000
K: 0.0237 0.9270 0.2539
Br: 0.8059 0.7963 0.5515
Br: 0.7008 0.3015 0.5499
Br: 0.3059 0.7037 0.0515
Br: 0.2992 0.6985 0.4501
Br: 0.1008 0.4755 0.7415
K: 0.4763 0.4270 0.2461
Pr: 0.0000 0.5000 0.0000
Br: 0.8992 0.5245 0.2585
Br: 0.7992 0.8015 0.9501
Br: 0.6008 0.0245 0.2415
Br: 0.6941 0.2963 0.9485
Pr: 0.5000 0.0000 0.5000
Li: 0.5000 0.0000 0.0000
K: 0.5237 0.5730 0.7539
Br: 0.1941 0.2037 0.4485

Output
- E_form (uncorrected): -1.763 eV/atom
- ΔE to the lowest computed polymorph: 0.0 kJ/mol of atoms
- Crystal system: monoclinic

***

# 8
VASP calculation (GGA-PBE) on Tb2LuRu after structural relaxation.

a b c (Å): 3.4367 3.4367 8.8169
angles (deg): 90.00 90.00 90.00
Positions (direct):
Tb: 0.0000 0.0000 0.8112
Lu: 0.5000 0.5000 0.5000
Ru: 0.5000 0.5000 0.0000
Tb: 0.0000 0.0000 0.1888

Output
- ΔH_f (0 K): -0.157 eV/atom
- ΔE to the lowest computed polymorph: 0.0 kJ/mol of atoms
- Crystal system: tetragonal

***

# 9
VASP calculation (GGA-PBE) on Mn2CuAs after structural relaxation.

a b c (Å): 3.2502 3.2502 5.2636
angles (deg): 90.00 90.00 90.00
Positions (direct):
Cu: 0.5000 0.5000 0.7659
Mn: 0.5000 0.5000 0.2659
As: 0.0000 0.0000 0.4790
Mn: 0.0000 0.0000 0.9892

Output
- ΔH_f (0 K): 0.099 eV/atom
- Crystal system: tetragonal

***

# 10
VASP calculation (GGA-PBE) on Mn5NbAl after structural relaxation.

a b c (Å): 4.5837 7.7493 10.0102
angles (deg): 90.00 90.00 90.00
Positions (direct):
Mn: 0.2500 0.9518 0.0944
Mn: 0.2500 0.6937 0.2471
Al: 0.2500 0.3670 0.6413
Al: 0.7500 0.1330 0.1413
Mn: 0.0167 0.5711 0.8127
Al: 0.2500 0.8670 0.8587
Mn: 0.2500 0.4518 0.4056
Nb: 0.7500 0.2631 0.4427
Mn: 0.9833 0.4289 0.1873
Mn: 0.4833 0.5711 0.8127
Mn: 0.2500 0.5945 0.0272
Nb: 0.2500 0.7369 0.5573
Mn: 0.2500 0.0945 0.4728
Mn: 0.5167 0.4289 0.1873
Nb: 0.7500 0.7631 0.0573
Mn: 0.7500 0.3063 0.7529
Mn: 0.2500 0.1937 0.2529
Mn: 0.9833 0.9289 0.3127
Mn: 0.7500 0.8063 0.7471
Mn: 0.7500 0.9055 0.5272
Mn: 0.7500 0.4055 0.9728
Mn: 0.7500 0.0482 0.9056
Mn: 0.4833 0.0711 0.6873
Mn: 0.0167 0.0711 0.6873
Al: 0.7500 0.6330 0.3587
Nb: 0.2500 0.2369 0.9427
Mn: 0.7500 0.5482 0.5944
Mn: 0.5167 0.9289 0.3127

Output
- ΔH_f (0 K): -0.079 eV/atom
- Crystal system: orthorhombic

***

# 11
VASP calculation (GGA-PBE) on MgAl2Au after structural relaxation.

a b c (Å): 3.2927 3.9902 5.4916
angles (deg): 90.00 90.00 90.00
Positions (direct):
Al: 0.0000 0.0000 0.0082
Mg: 0.5000 0.5000 0.7500
Al: 0.0000 0.0000 0.4918
Au: 0.5000 0.5000 0.2500

Output
- ΔH_f (0 K): -0.125 eV/atom
- Crystal system: orthorhombic

***

# 12
VASP calculation (GGA-PBE) on HgHS2N after structural relaxation.

a b c (Å): 3.4879 3.4879 7.2380
angles (deg): 90.00 90.00 90.00
Positions (direct):
Hg: 0.5000 0.5000 0.5000
S: 0.0000 0.5000 0.0000
H: 0.0000 0.0000 0.0000
N: 0.0000 0.0000 0.5000
S: 0.5000 0.0000 0.0000

Output
- ΔE to the lowest computed polymorph: 0.0 kJ/mol of atoms
- Crystal system: tetragonal

***

# 13
VASP calculation (GGA-PBE) on NdThIr2 after structural relaxation.

a b c (Å): 5.0369 5.0369 5.0369
angles (deg): 60.00 60.00 60.00
Positions (direct):
Ir: 0.2500 0.2500 0.2500
Ir: 0.7500 0.7500 0.7500
Th: 0.0000 0.0000 0.0000
Nd: 0.5000 0.5000 0.5000

Output
- ΔH_f (0 K): -0.670 eV/atom
- ΔE to the lowest computed polymorph: 14.5 kJ/mol of atoms
- Crystal system: cubic

***

# 14
VASP calculation (GGA-PBE) on CsErVBr6 after structural relaxation.

a b c (Å): 7.0283 7.0283 8.3362
angles (deg): 89.99 90.01 60.01
Positions (direct):
V: 0.6666 0.6667 0.5000
Br: 0.3749 0.9856 0.6875
Br: 0.3747 0.6396 0.3125
Br: 0.6396 0.3748 0.6875
Br: 0.6394 0.9857 0.3124
Er: 0.3333 0.3333 0.5000
Cs: 0.0000 0.0000 0.0000
Br: 0.9857 0.6394 0.6875
Br: 0.9856 0.3749 0.3125

Output
- E_form (uncorrected): -1.517 eV/atom
- Crystal system: trigonal

***

# 15
VASP calculation (GGA-PBE) on ScGaNiAg after structural relaxation.

a b c (Å): 4.4936 4.4936 4.4936
angles (deg): 60.00 60.00 60.00
Positions (direct):
Ag: 0.2500 0.2500 0.2500
Sc: 0.0000 0.0000 0.0000
Ga: 0.5000 0.5000 0.5000
Ni: 0.7500 0.7500 0.7500

Output
- ΔH_f (0 K): -0.345 eV/atom
- Crystal system: cubic

***

# 16
VASP calculation (GGA-PBE) on Mn3SiH after structural relaxation.

a b c (Å): 4.7760 4.7760 5.0164
angles (deg): 90.00 90.00 116.62
Positions (direct):
Mn: 0.0000 0.0000 0.5000
Si: 0.5517 0.4483 0.7500
Mn: 0.0697 0.5185 0.7500
Si: 0.4483 0.5517 0.2500
Mn: 0.5185 0.0697 0.2500
Mn: 0.4815 0.9303 0.7500
Mn: 0.0000 0.0000 0.0000
H: 0.1336 0.8664 0.2500
Mn: 0.9303 0.4815 0.2500
H: 0.8664 0.1336 0.7500

Output
- ΔE to the lowest computed polymorph: 35.9 kJ/mol of atoms
- Crystal system: orthorhombic

***

# 17
VASP calculation (GGA-PBE) on OsAuO2 after structural relaxation.

a b c (Å): 4.0404 4.0404 4.0404
angles (deg): 60.00 60.00 60.00
Positions (direct):
O: 0.7500 0.7500 0.7500
Os: 0.0000 0.0000 0.0000
Au: 0.5000 0.5000 0.5000
O: 0.2500 0.2500 0.2500

Output
- E_form (uncorrected): 0.958 eV/atom
- ΔE to the lowest computed polymorph: 124.0 kJ/mol of atoms
- Crystal system: cubic

***

# 18
VASP calculation (GGA-PBE) on HoZn2Cu after structural relaxation.

a b c (Å): 3.1798 3.1798 6.8901
angles (deg): 90.00 90.00 90.00
Positions (direct):
Ho: 0.5000 0.5000 0.5000
Zn: 0.0000 0.0000 0.8028
Cu: 0.5000 0.5000 0.0000
Zn: 0.0000 0.0000 0.1972

Output
- ΔH_f (0 K): -0.156 eV/atom
- Crystal system: tetragonal

***

# 19
VASP calculation (GGA-PBE) on MnZn2Ru after structural relaxation.

a b c (Å): 2.6549 2.6549 8.7328
angles (deg): 90.00 90.00 114.40
Positions (direct):
Ru: 0.5000 0.5000 0.7500
Zn: 0.0000 0.0000 0.4986
Zn: 0.0000 0.0000 0.0014
Mn: 0.5000 0.5000 0.2500

Output
- ΔH_f (0 K): 0.159 eV/atom
- ΔE to the lowest computed polymorph: 19.9 kJ/mol of atoms
- Crystal system: orthorhombic

***

# 20
VASP calculation (GGA-PBE) on Li5Cd2Hg2Rh after structural relaxation.

a b c (Å): 3.3030 10.5412 10.5412
angles (deg): 90.00 90.00 90.00
Positions (direct):
Hg: 0.0000 0.1436 0.6436
Cd: 0.0000 0.3363 0.8363
Cd: 0.0000 0.1637 0.3363
Rh: 0.0000 0.5000 0.5000
Cd: 0.0000 0.8363 0.6637
Li: 0.5000 0.9754 0.1836
Li: 0.5000 0.6836 0.4754
Li: 0.5000 0.1836 0.0246
Li: 0.5000 0.3164 0.5246
Li: 0.5000 0.0246 0.8164
Rh: 0.0000 0.0000 0.0000
Li: 0.5000 0.5000 0.0000
Cd: 0.0000 0.6637 0.1637
Li: 0.5000 0.8164 0.9754
Hg: 0.0000 0.6436 0.8564
Li: 0.5000 0.4754 0.3164
Hg: 0.0000 0.3564 0.1436
Li: 0.5000 0.5246 0.6836
Hg: 0.0000 0.8564 0.3564
Li: 0.5000 0.0000 0.5000

Output
- ΔH_f (0 K): -0.128 eV/atom
- Crystal system: tetragonal

***

# 21
VASP calculation (GGA-PBE) on BaIn3Au4 after structural relaxation.

a b c (Å): 5.2230 5.2230 7.7202
angles (deg): 90.00 90.00 90.00
Positions (direct):
In: 0.0000 0.0000 0.0000
Au: 0.0000 0.5000 0.1860
In: 0.5000 0.5000 0.6965
Au: 0.5000 0.0000 0.1860
Ba: 0.0000 0.0000 0.5000
In: 0.5000 0.5000 0.3035
Au: 0.5000 0.0000 0.8140
Au: 0.0000 0.5000 0.8140

Output
- ΔH_f (0 K): -0.355 eV/atom
- Crystal system: tetragonal

***

# 22
VASP calculation (GGA-PBE) on La4ErAs5 after structural relaxation.

a b c (Å): 6.1191 7.4826 7.4826
angles (deg): 80.38 65.87 65.87
Positions (direct):
La: 0.8002 0.7988 0.6028
As: 0.2927 0.8055 0.6111
As: 0.0982 0.6111 0.1945
As: 0.9038 0.3889 0.8055
As: 0.7093 0.1945 0.3889
La: 0.5990 0.6028 0.2012
Er: 0.0011 0.0000 0.0000
As: 0.5013 0.0000 0.0000
La: 0.2018 0.2012 0.3972
La: 0.4030 0.3972 0.7988

Output
- ΔH_f (0 K): -1.544 eV/atom
- Crystal system: tetragonal

***

# 23
VASP calculation (GGA-PBE) on ScTl2P after structural relaxation.

a b c (Å): 3.6466 3.6466 7.6213
angles (deg): 90.00 90.00 90.00
Positions (direct):
Sc: 0.5000 0.5000 0.6625
Tl: 0.5000 0.5000 0.2524
P: 0.0000 0.0000 0.6070
Tl: 0.0000 0.0000 0.9781

Output
- ΔH_f (0 K): -0.450 eV/atom
- ΔE to the lowest computed polymorph: 0.0 kJ/mol of atoms
- Crystal system: tetragonal